(1)
Ba3Sr4Cd2: relaxed, PBE-GGA.

Properties
- Formation enthalpy at 0 K: -0.100 eV/atom
- E: -1.69 eV per atom
- Fermi-level density of states: 12.1 states/eV/cell
- SG: C2/m, No. 12

```
Ba3Sr4Cd2
1.0
9.281 -2.421 0.000
9.281 2.421 0.000
-5.170 0.000 9.928
Ba Sr Cd
3 4 2
direct
0.000 0.000 0.000
0.368 0.368 0.630
0.632 0.632 0.370
0.106 0.106 0.676
0.333 0.333 0.002
0.667 0.667 0.998
0.894 0.894 0.324
0.238 0.238 0.244
0.762 0.762 0.756
```

***

(2)
RbSi3Hg: relaxed, PBE-GGA.

Properties
- Relative energy among the computed polymorphs: 1130 meV per atom
- E: -1.36 eV per atom
- Fermi-level density of states: 6.1 states/eV/cell
- Uncorrected formation energy: 2145 meV/atom
- SG: Pm-3m, No. 221

```
RbSi3Hg
1.0
5.772 0.000 0.000
0.000 5.772 0.000
0.000 0.000 5.772
Rb Si Hg
1 3 1
direct
0.000 0.000 0.000
0.000 0.000 0.500
0.000 0.500 0.000
0.500 0.000 0.000
0.500 0.500 0.500
```

***

(3)
Dy2ZnPd: relaxed, PBE-GGA.

Properties
- Formation enthalpy at 0 K: -0.605 eV/atom
- Relative energy among the computed polymorphs: 25 meV per atom
- E: -4.52 eV per atom
- Fermi-level density of states: 2.3 states/eV/cell
- SG: Fm-3m, No. 225

```
Dy2ZnPd
1.0
0.000 3.536 3.536
3.536 0.000 3.536
3.536 3.536 0.000
Dy Zn Pd
2 1 1
direct
0.250 0.250 0.250
0.750 0.750 0.750
0.000 0.000 0.000
0.500 0.500 0.500
```

***

(4)
TbSm5DyHo2: relaxed, PBE-GGA.

Properties
- Formation enthalpy at 0 K: 0.149 eV/atom
- E: -4.52 eV per atom
- Fermi-level density of states: 29.1 states/eV/cell
- SG: Cmc2_1, No. 36

```
TbSm5DyHo2
1.0
2.815 -10.087 0.000
2.815 10.087 0.000
0.000 0.000 10.638
Tb Sm Dy Ho
2 10 2 4
direct
0.200 0.800 0.500
0.800 0.200 0.000
0.017 0.983 0.511
0.281 0.719 0.800
0.298 0.702 0.196
0.389 0.611 0.513
0.480 0.520 0.231
0.520 0.480 0.731
0.611 0.389 0.013
0.702 0.298 0.696
0.719 0.281 0.300
0.983 0.017 0.011
0.411 0.589 0.947
0.589 0.411 0.447
0.111 0.889 0.227
0.115 0.885 0.805
0.885 0.115 0.305
0.889 0.111 0.727
```

***

(5)
Rb2RuRh: relaxed, PBE-GGA.

Properties
- Formation enthalpy at 0 K: 1.737 eV/atom
- Relative energy among the computed polymorphs: 706 meV per atom
- E: -2.90 eV per atom
- Fermi-level density of states: 14.9 states/eV/cell
- SG: Fm-3m, No. 225

```
Rb2RuRh
1.0
0.000 3.849 3.849
3.849 0.000 3.849
3.849 3.849 0.000
Rb Ru Rh
2 1 1
direct
0.250 0.250 0.250
0.750 0.750 0.750
0.000 0.000 0.000
0.500 0.500 0.500
```

***

(6)
CrFe3As2: relaxed, PBE-GGA.

Properties
- Formation enthalpy at 0 K: -0.036 eV/atom
- E: -7.42 eV per atom
- Fermi-level density of states: 5.4 states/eV/cell
- SG: P-4m2, No. 115

```
CrFe3As2
1.0
3.639 0.000 0.000
0.000 3.639 0.000
0.000 0.000 6.080
Cr Fe As
1 3 2
direct
0.000 0.000 0.000
0.000 0.500 0.330
0.500 0.000 0.670
0.500 0.500 0.000
0.000 0.500 0.727
0.500 0.000 0.273
```